Entry 1:
A plane-wave DFT calculation with PBE was carried out for crystalline MgBe2Ga2 at its relaxed geometry.

Energy above the most stable polymorph in this dataset = 0.0 meV/atom
Symmetry = I4/mmm, No. 139
E = -2.9158 eV/atom
DFT formation energy = 10.1 kJ/mol of atoms

Cell lengths 3.6814, 3.6814, 10.8591 Å; angles 90.00, 90.00, 90.00 degrees
Last column: nearest neighbours and their distance in Å.
Element x y z (fractional)
Mg: 0.0000 0.0000 0.0000  8 Ga 2.89
Mg: 0.5000 0.5000 0.5000  8 Ga 2.89
Be: 0.0000 0.5000 0.2500  4 Ga 2.35, 4 Be 2.60
Be: 0.0000 0.5000 0.7500  4 Ga 2.35, 4 Be 2.60
Be: 0.5000 0.0000 0.2500  4 Ga 2.35, 4 Be 2.60
Be: 0.5000 0.0000 0.7500  4 Ga 2.35, 4 Be 2.60
Ga: 0.0000 0.0000 0.3840  4 Be 2.35, 1 Ga 2.52
Ga: 0.0000 0.0000 0.6160  4 Be 2.35, 1 Ga 2.52
Ga: 0.5000 0.5000 0.1160  4 Be 2.35, 1 Ga 2.52
Ga: 0.5000 0.5000 0.8840  4 Be 2.35, 1 Ga 2.52

=====

Entry 2:
A plane-wave DFT calculation with PBE was carried out for crystalline MgBe2Ga2 at its relaxed geometry.

Energy above the most stable polymorph in this dataset = 173.2 meV/atom
Symmetry = P4/mbm, No. 127
E = -2.7426 eV/atom
DFT formation energy = 26.8 kJ/mol of atoms

Cell lengths 7.3934, 7.3934, 2.6747 Å; angles 90.00, 90.00, 90.00 degrees
Last column: nearest neighbours and their distance in Å.
Element x y z (fractional)
Mg: 0.0000 0.0000 0.0000  2 Mg 2.67, 4 Ga 2.87
Mg: 0.5000 0.5000 0.0000  2 Mg 2.67, 4 Ga 2.87
Be: 0.1600 0.3400 0.5000  6 Ga 2.52-2.57, 2 Be 2.67
Be: 0.3400 0.8400 0.5000  6 Ga 2.52-2.57, 2 Be 2.67
Be: 0.6600 0.1600 0.5000  6 Ga 2.52-2.57, 2 Be 2.67
Be: 0.8400 0.6600 0.5000  6 Ga 2.52-2.57, 2 Be 2.67
Ga: 0.1360 0.6360 0.0000  6 Be 2.52-2.57, 2 Ga 2.67
Ga: 0.3640 0.1360 0.0000  6 Be 2.52-2.57, 2 Ga 2.67
Ga: 0.6360 0.8640 0.0000  6 Be 2.52-2.57, 2 Ga 2.67
Ga: 0.8640 0.3640 0.0000  6 Be 2.52-2.57, 2 Ga 2.67